No. 1
DFT (PBE) results for BaCr2SnB after structural relaxation.

Calculated values
- DFT formation energy (meV per atom) = 2223

Cell: 5.6717 5.6717 4.8425 Å, 90.00 90.00 90.00°
Closest atoms and distances in Å follow each position.
Space group P4/mmm (No. 123)
One atom of each set of equivalent atoms:
Ba 0.0000 0.0000 0.0000 x1  2 B 2.42
Cr 0.0000 0.5000 0.0000 x2  2 Ba 2.84
Sn 0.5000 0.5000 0.5000 x1  8 Cr 3.73, 4 B 4.01
B 0.0000 0.0000 0.5000 x1  2 Ba 2.42



No. 2
DFT (PBE) results for ReSi2PtW after structural relaxation.

Calculated values
- E_form (uncorrected) (eV per atom) = 1.443

Cell: 4.5363 4.5363 4.9617 Å, 90.00 90.00 90.00°
Closest atoms and distances in Å follow each position.
Space group P4/mmm (No. 123)
One atom of each set of equivalent atoms:
Re 0.0000 0.0000 0.0000 x1  4 Si 2.27, 2 Pt 2.48
Si 0.0000 0.5000 0.0000 x2  2 Re 2.27
Pt 0.0000 0.0000 0.5000 x1  2 Re 2.48
W 0.5000 0.5000 0.5000 x1  4 Pt 3.21, 8 Si 3.36



No. 3
DFT (PBE) results for VP2AuS after structural relaxation.

Calculated values
- energy relative to the lowest polymorph listed for this composition (eV per atom) = 0.9785
- E_form (uncorrected) (eV per atom) = 1.349

Cell: 4.7109 4.7109 4.8705 Å, 90.00 90.00 90.00°
Closest atoms and distances in Å follow each position.
Space group P4/mmm (No. 123)
One atom of each set of equivalent atoms:
V 0.0000 0.0000 0.0000 x1  4 S 3.33, 8 P 3.39
P 0.0000 0.5000 0.5000 x2  2 Au 2.36
Au 0.5000 0.5000 0.5000 x1  4 P 2.36, 2 S 2.44
S 0.5000 0.5000 0.0000 x1  2 Au 2.44



No. 4
DFT (PBE) results for AlBiSe2 after structural relaxation.

Calculated values
- energy relative to the lowest polymorph listed for this composition (eV per atom) = 0.5772
- E_form (uncorrected) (eV per atom) = -0.008

Cell: 7.1735 7.1735 7.1735 Å, 90.00 90.00 90.00°
Closest atoms and distances in Å follow each position.
Space group Fm-3m (No. 225)
One atom of each set of equivalent atoms:
Al 0.0000 0.0000 0.0000 x4  8 Se 3.11
Bi 0.0000 0.0000 0.5000 x4  8 Se 3.11
Se 0.2500 0.2500 0.2500 x8  4 Bi 3.11, 4 Al 3.11



No. 5
DFT (PBE) results for La2ZrCl after structural relaxation.

Calculated values
- energy relative to the lowest polymorph listed for this composition (eV per atom) = 0.0232
- E_form (uncorrected) (eV per atom) = -0.556

Cell: 5.7740 5.7748 3.5020 Å, 90.00 90.00 90.00°
Closest atoms and distances in Å follow each position.
Space group Pmm2 (No. 25)
One atom of each set of equivalent atoms:
La 0.0000 0.0000 0.0000 x1  2 Cl 2.90, 2 Zr 3.24
La 0.5000 0.5000 0.1650 x1  2 Cl 2.90, 2 Zr 3.24
Zr 0.5000 0.0000 0.5827 x1  8 La 3.24-3.54, 2 Zr 3.50
Cl 0.0000 0.5000 0.0812 x1  4 La 2.90



No. 6
DFT (PBE) results for ZnHg3 after structural relaxation.

Calculated values
- DFT formation energy (meV per atom) = 102
- energy relative to the lowest polymorph listed for this composition (eV per atom) = 0.0340

Cell: 3.5576 3.5576 7.5243 Å, 90.00 90.00 90.00°
Closest atoms and distances in Å follow each position.
Space group P4/mmm (No. 123)
One atom of each set of equivalent atoms:
Zn 0.0000 0.0000 0.0000 x1  8 Hg 3.02
Hg 0.0000 0.0000 0.5000 x1  12 Hg 3.27-3.56
Hg 0.5000 0.5000 0.2225 x2  4 Zn 3.02, 5 Hg 3.27-3.35



No. 7
DFT (PBE) results for Hf2ZnSi2 after structural relaxation.

Calculated values
- E_form (uncorrected) (eV per atom) = -0.507

Cell: 6.5914 6.5914 3.8713 Å, 90.00 90.00 90.00°
Closest atoms and distances in Å follow each position.
Space group P4/mbm (No. 127)
One atom of each set of equivalent atoms:
Hf 0.1761 0.3239 0.0000 x4  6 Si 2.67-2.80
Zn 0.0000 0.0000 0.5000 x2  4 Si 2.60
Si 0.1264 0.6264 0.5000 x4  1 Si 2.36, 2 Zn 2.60



No. 8
DFT (PBE) results for Ba2TaOs after structural relaxation.

Calculated values
- DFT formation energy (meV per atom) = 462
- energy relative to the lowest polymorph listed for this composition (eV per atom) = 0.1565

Cell: 19.7862 3.5033 3.9642 Å, 90.00 101.06 90.00°
Closest atoms and distances in Å follow each position.
Space group C2/m (No. 12)
One atom of each set of equivalent atoms:
Ba 0.1459 0.0000 0.1392 x4  2 Os 3.33, 2 Ta 3.46, 2 Ba 3.50
Ta 0.0000 0.0000 0.5000 x2  4 Os 2.65
Os 0.0000 0.5000 0.0000 x2  4 Ta 2.65



No. 9
DFT (PBE) results for Ta2TcSe after structural relaxation.

Calculated values
- E_form (uncorrected) (eV per atom) = 0.017

Cell: 3.1639 4.1265 5.2290 Å, 90.00 90.00 90.00°
Closest atoms and distances in Å follow each position.
Space group Pmm2 (No. 25)
One atom of each set of equivalent atoms:
Ta 0.0000 0.0000 0.0000 x1  2 Tc 2.57-2.66, 4 Se 2.85
Ta 0.5000 0.5000 0.2784 x1  2 Se 2.59-2.64, 4 Tc 2.83
Tc 0.0000 0.0000 0.4918 x1  6 Ta 2.57-2.83
Se 0.5000 0.5000 0.7745 x1  6 Ta 2.59-2.85



No. 10
DFT (PBE) results for Rb3U3CoS8 after structural relaxation.

Calculated values
- E_form (uncorrected) (eV per atom) = -1.183

Cell: 13.5100 7.8076 9.0810 Å, 90.00 119.70 90.00°
Closest atoms and distances in Å follow each position.
Space group C2/m (No. 12)
One atom of each set of equivalent atoms:
Rb 0.0000 0.0000 0.0000 x2  6 S 3.29-3.36
Rb 0.2500 0.2500 0.0000 x4  6 S 3.29-3.36
U 0.0000 0.5000 0.5000 x2  6 S 2.69-2.73
U 0.2500 0.2500 0.5000 x4  6 S 2.69-2.73
Co 0.0000 0.0000 0.5000 x2  6 S 2.60-2.61
S 0.0208 0.2431 0.3193 x8  1 Co 2.61, 2 U 2.69
S 0.2216 0.0000 0.6801 x4  1 Co 2.60, 2 U 2.69
S 0.2322 0.5000 0.6965 x4  3 U 2.73



No. 11
DFT (PBE) results for Be2BiCI after structural relaxation.

Calculated values
- E_form (uncorrected) (eV per atom) = 1.138

Cell: 4.1461 4.1461 5.6627 Å, 90.00 90.00 90.00°
Closest atoms and distances in Å follow each position.
Space group P4/mmm (No. 123)
One atom of each set of equivalent atoms:
Be 0.0000 0.5000 0.0000 x2  2 C 2.07
Bi 0.0000 0.0000 0.5000 x1  2 C 2.83, 4 I 2.93
C 0.0000 0.0000 0.0000 x1  4 Be 2.07
I 0.5000 0.5000 0.5000 x1  4 Bi 2.93



No. 12
DFT (PBE) results for CeP2S8 after structural relaxation.

Calculated values
- E_form (uncorrected) (eV per atom) = -0.236

Cell: 7.0706 7.0706 6.8887 Å, 90.00 90.00 120.00°
Closest atoms and distances in Å follow each position.
Space group P-3m1 (No. 164)
One atom of each set of equivalent atoms:
Ce 0.0000 0.0000 0.0000 x1  6 S 2.69
P 0.3333 0.6667 0.6655 x2  4 S 1.98-2.05
S 0.1758 0.3517 0.7649 x6  1 P 2.05
S 0.3333 0.6667 0.3787 x2  1 P 1.98



Here are the calculated final energy numbers, same order: -4.147 -7.015 -4.120 -3.656 -5.619 -0.443 -6.912 -6.270 -9.372 -6.309 -3.284 -4.761 (eV/atom).